[1]
# Rb2GaSnTe

An optimized crystal structure of Rb2GaSnTe (PBE, the Alexandria database).

Cell lengths 7.1069, 5.7103, 7.1069 Å; angles 90.00, 90.00, 90.00 degrees
With the nearest neighbours (Å) after each atom.
Atoms (fractional coordinates):
Ga: 0.5000 0.5000 0.5000  8 Rb 4.56, 4 Te 5.03
Te: 0.0000 0.5000 0.0000  2 Sn 2.86
Sn: 0.0000 0.0000 0.0000  2 Te 2.86
Rb: 0.0000 0.0000 0.5000  2 Sn 3.55
Rb: 0.5000 0.0000 0.0000  2 Sn 3.55

Results
Uncorrected formation energy ... 248 meV per atom
Magnetization ... 1.29 μB/f.u.
Uncorrected energy ... -2.17 eV per atom
ρ ... 2.8 g/cm3
Density of states at the Fermi level ... 7.382 states/eV per cell


[2]
# Rb2Tl6GaSn

An optimized crystal structure of Rb2Tl6GaSn (PBE, the Alexandria database).

Cell lengths 7.8559, 7.8559, 14.5567 Å; angles 74.35, 74.35, 60.00 degrees
With the nearest neighbours (Å) after each atom.
Atoms (fractional coordinates):
Rb: 0.8961 0.8961 0.3117  12 Tl 4.12-4.34, 1 Ga 4.31, 3 Sn 4.57
Rb: 0.1039 0.1039 0.6883  12 Tl 4.12-4.34, 1 Ga 4.31, 3 Sn 4.57
Rb: 0.7225 0.7225 0.8326  12 Tl 3.85-4.11
Rb: 0.2775 0.2775 0.1674  12 Tl 3.85-4.11
Tl: 0.9118 0.3402 0.4078  1 Ga 2.89, 1 Sn 3.19
Tl: 0.3402 0.9118 0.4078  1 Ga 2.89, 1 Sn 3.19
Tl: 0.3402 0.3402 0.4078  1 Ga 2.89, 1 Sn 3.19
Tl: 0.0882 0.6598 0.5922  1 Ga 2.89, 1 Sn 3.19
Tl: 0.6598 0.0882 0.5922  1 Ga 2.89, 1 Sn 3.19
Tl: 0.6598 0.6598 0.5922  1 Ga 2.89, 1 Sn 3.19
Tl: 0.6402 0.2215 0.9167  1 Ga 2.88
Tl: 0.2215 0.6402 0.9167  1 Ga 2.88
Tl: 0.2215 0.2215 0.9167  1 Ga 2.88
Tl: 0.3598 0.7785 0.0833  1 Ga 2.88
Tl: 0.7785 0.3598 0.0833  1 Ga 2.88
Tl: 0.7785 0.7785 0.0833  1 Ga 2.88
Ga: 0.0000 0.0000 0.0000  6 Tl 2.88
Ga: 0.5000 0.5000 0.5000  6 Tl 2.89, 2 Sn 3.13
Sn: 0.5755 0.5755 0.2736  1 Ga 3.13, 6 Tl 3.19-3.25
Sn: 0.4245 0.4245 0.7264  1 Ga 3.13, 6 Tl 3.19-3.25

Results
Magnetization ... 0.00 μB/f.u.
Uncorrected energy ... -2.32 eV per atom
ρ ... 7.1 g/cm3
Density of states at the Fermi level ... 10.722 states/eV per cell